P) This record from Alexandria describes NbAlAg after structural relaxation. The functional is PBE.

Unit cell a=5.220 b=4.655 c=5.961 alpha=75.79 beta=64.03 gamma=55.89
Element x y z (fractional)
Ag (0.750, 0.500, 0.500)
Ag (0.250, 0.500, 0.500)
Nb (0.827, 0.345, 0.000)
Nb (0.173, 0.655, 0.000)
Al (0.380, 0.000, 0.240)
Al (0.620, 0.000, 0.760)

Summary:
Space group ... Fmmm, No. 69
Total moment ... 0.00 μB per atom
V ... 18.0 Å³ per atom

=====

Q) This record from Alexandria describes NbAlAg after structural relaxation. The functional is PBE.

Unit cell a=2.840 b=2.840 c=6.647 alpha=102.34 beta=102.34 gamma=90.00
Element x y z (fractional)
Nb (0.327, 0.327, 0.653)
Al (0.667, 0.667, 0.334)
Ag (0.006, 0.006, 0.013)

Summary:
Space group ... I4mm, No. 107
Total moment ... 0.00 μB per atom
V ... 17.0 Å³ per atom

=====

Q) ends up most stable, edging out the next structure by 0.184 eV/atom.

=====

P) This record from Alexandria describes NbAl2Ag2 after structural relaxation. The functional is PBE.

Unit cell a=7.749 b=7.749 c=2.833 alpha=90.00 beta=90.00 gamma=90.00
Element x y z (fractional)
Al (0.325, 0.175, 0.500)
Al (0.175, 0.675, 0.500)
Al (0.825, 0.325, 0.500)
Al (0.675, 0.825, 0.500)
Ag (0.874, 0.626, 0.000)
Ag (0.626, 0.126, 0.000)
Ag (0.374, 0.874, 0.000)
Ag (0.126, 0.374, 0.000)
Nb (0.500, 0.500, 0.000)
Nb (0.000, 0.000, 0.000)

Summary:
Space group ... P4/mbm, No. 127
Total moment ... 0.00 μB per atom
V ... 17.0 Å³ per atom

=====

Q) This record from Alexandria describes NbAl2Ag2 after structural relaxation. The functional is PBE.

Unit cell a=7.618 b=7.618 c=2.913 alpha=90.00 beta=90.00 gamma=90.00
Element x y z (fractional)
Ag (0.852, 0.352, 0.500)
Ag (0.148, 0.648, 0.500)
Ag (0.352, 0.148, 0.500)
Ag (0.648, 0.852, 0.500)
Al (0.151, 0.349, 0.000)
Al (0.651, 0.151, 0.000)
Al (0.349, 0.849, 0.000)
Al (0.849, 0.651, 0.000)
Nb (0.000, 0.000, 0.000)
Nb (0.500, 0.500, 0.000)

Summary:
Space group ... P4/mbm, No. 127
Total moment ... 0.00 μB per atom
V ... 16.9 Å³ per atom

=====

Q) ends up most stable, edging out the next structure by 0.018 eV/atom.

=====

P) This record from Alexandria describes NbAl2Ag after structural relaxation. The functional is PBE.

Unit cell a=4.544 b=4.544 c=4.544 alpha=60.00 beta=60.00 gamma=60.00
Element x y z (fractional)
Ag (0.500, 0.500, 0.500)
Al (0.250, 0.250, 0.250)
Al (0.750, 0.750, 0.750)
Nb (0.000, 0.000, 0.000)

Summary:
Space group ... Fm-3m, No. 225
Total moment ... 0.19 μB per atom
V ... 16.6 Å³ per atom

=====

Q) This record from Alexandria describes NbAl2Ag after structural relaxation. The functional is PBE.

Unit cell a=7.110 b=7.110 c=5.794 alpha=52.15 beta=52.15 gamma=90.00
Element x y z (fractional)
Ag (0.000, 0.000, 0.000)
Ag (0.750, 0.250, 0.500)
Nb (0.250, 0.750, 0.500)
Nb (0.500, 0.500, 0.000)
Al (0.646, 0.125, 0.250)
Al (0.875, 0.896, 0.750)
Al (0.375, 0.354, 0.750)
Al (0.104, 0.625, 0.250)

Summary:
Space group ... I-42d, No. 122
Total moment ... 0.00 μB per atom
V ... 18.2 Å³ per atom

=====

R) This record from Alexandria describes NbAl2Ag after structural relaxation. The functional is PBE.

Unit cell a=2.901 b=2.901 c=10.009 alpha=81.67 beta=81.67 gamma=60.00
Element x y z (fractional)
Al (0.091, 0.091, 0.727)
Al (0.909, 0.909, 0.273)
Nb (0.000, 0.000, 0.000)
Ag (0.500, 0.500, 0.500)

Summary:
Space group ... R-3m, No. 166
Total moment ... 0.00 μB per atom
V ... 18.0 Å³ per atom

=====

P) ends up most stable, edging out the next structure by 0.206 eV/atom.

=====

P) This record from Alexandria describes Nb3AlAg after structural relaxation. The functional is PBE.

Unit cell a=4.725 b=4.725 c=4.725 alpha=90.00 beta=90.00 gamma=90.00
Element x y z (fractional)
Nb (0.000, 0.000, 0.500)
Nb (0.000, 0.500, 0.000)
Nb (0.500, 0.000, 0.000)
Ag (0.500, 0.500, 0.500)
Al (0.000, 0.000, 0.000)

Summary:
Space group ... Pm-3m, No. 221
Total moment ... 0.00 μB per atom
V ... 21.1 Å³ per atom

=====

Q) This record from Alexandria describes Nb3AlAg after structural relaxation. The functional is PBE.

Unit cell a=4.901 b=4.901 c=4.901 alpha=90.00 beta=90.00 gamma=90.00
Element x y z (fractional)
Nb (0.500, 0.000, 0.000)
Nb (0.000, 0.500, 0.000)
Nb (0.000, 0.000, 0.500)
Ag (0.000, 0.000, 0.000)
Al (0.500, 0.500, 0.500)

Summary:
Space group ... Pm-3m, No. 221
Total moment ... 0.00 μB per atom
V ... 23.5 Å³ per atom

=====

P) ends up most stable, edging out the next structure by 0.484 eV/atom.

=====

P) This record from Alexandria describes NbAl2AgSb after structural relaxation. The functional is PBE.

Unit cell a=5.054 b=5.264 c=5.054 alpha=90.00 beta=90.00 gamma=90.00
Element x y z (fractional)
Sb (0.000, 0.500, 0.000)
Al (0.500, 0.000, 0.000)
Al (0.000, 0.000, 0.500)
Ag (0.500, 0.500, 0.500)
Nb (0.000, 0.000, 0.000)

Summary:
Space group ... P4/mmm, No. 123
Total moment ... 0.00 μB per atom
V ... 26.9 Å³ per atom

=====

Q) This record from Alexandria describes NbAl2AgSb after structural relaxation. The functional is PBE.

Unit cell a=5.015 b=5.151 c=5.015 alpha=90.00 beta=90.00 gamma=90.00
Element x y z (fractional)
Ag (0.000, 0.500, 0.000)
Al (0.500, 0.000, 0.000)
Al (0.000, 0.000, 0.500)
Nb (0.000, 0.000, 0.000)
Sb (0.500, 0.500, 0.500)

Summary:
Space group ... P4/mmm, No. 123
Total moment ... 0.00 μB per atom
V ... 25.9 Å³ per atom

=====

P) ends up most stable, edging out the next structure by 0.342 eV/atom.

=====

P) This record from Alexandria describes Nd3AlAg after structural relaxation. The functional is PBE.

Unit cell a=8.503 b=8.503 c=10.234 alpha=88.52 beta=88.52 gamma=51.79
Element x y z (fractional)
Nd (0.245, 0.141, 0.670)
Nd (0.755, 0.859, 0.330)
Nd (0.859, 0.755, 0.830)
Nd (0.371, 0.390, 0.344)
Nd (0.610, 0.629, 0.156)
Nd (0.390, 0.371, 0.844)
Nd (0.141, 0.245, 0.170)
Nd (0.769, 0.138, 0.078)
Nd (0.231, 0.862, 0.922)
Nd (0.138, 0.769, 0.578)
Nd (0.862, 0.231, 0.422)
Nd (0.629, 0.610, 0.656)
Al (0.099, 0.635, 0.091)
Al (0.365, 0.901, 0.409)
Al (0.901, 0.365, 0.909)
Al (0.635, 0.099, 0.591)
Ag (0.000, 0.500, 0.500)
Ag (0.500, 0.000, 0.000)
Ag (0.846, 0.154, 0.750)
Ag (0.154, 0.846, 0.250)

Summary:
Space group ... C2/c, No. 15
Total moment ... 0.00 μB per atom
V ... 29.1 Å³ per atom

=====

Q) This record from Alexandria describes Nd3AlAg after structural relaxation. The functional is PBE.

Unit cell a=5.337 b=5.345 c=10.306 alpha=90.00 beta=74.99 gamma=90.00
Element x y z (fractional)
Ag (0.167, 0.250, 0.314)
Ag (0.481, 0.750, 0.686)
Nd (0.576, 0.250, 0.496)
Nd (0.256, 0.750, 0.137)
Nd (0.072, 0.750, 0.504)
Nd (0.762, 0.250, 0.124)
Nd (0.886, 0.750, 0.876)
Nd (0.392, 0.250, 0.863)
Al (0.979, 0.250, 0.691)
Al (0.670, 0.750, 0.309)

Summary:
Space group ... Cmcm, No. 63
Total moment ... 0.02 μB per atom
V ... 28.4 Å³ per atom

=====

Q) ends up most stable, edging out the next structure by 0.102 eV/atom.